Compound: Sb2ClF4
Source: Alexandria via LeMat-Bulk
Functional: PBE
Structure: optimized geometry

Unit cell a=4.2578 b=4.2578 c=15.8736 alpha=90.00 beta=90.00 gamma=90.00
With the nearest neighbours (Å) after each atom.
Space group I4/mmm (No. 139)
One atom of each set of equivalent atoms:
Sb (0.0000, 0.0000, 0.1417)  1 F 1.99
Cl (0.0000, 0.0000, 0.5000)  4 F 2.13
F (0.0000, 0.0000, 0.2669)  1 Sb 1.99
F (0.0000, 0.5000, 0.0000)  2 Cl 2.13

The calculation puts the energy relative to the elements, uncorrected at -67.7 kJ/mol of atoms.

---

Compound: Sb2ClF2
Source: Alexandria via LeMat-Bulk
Functional: PBE
Structure: optimized geometry

Unit cell a=5.0490 b=8.2297 c=6.2707 alpha=90.00 beta=109.57 gamma=90.00
With the nearest neighbours (Å) after each atom.
Space group C2/m (No. 12)
One atom of each set of equivalent atoms:
Sb (0.2251, 0.0000, 0.3195)  2 F 2.25
Cl (0.0000, 0.5000, 0.0000)  2 Sb 2.79
F (0.0000, 0.1548, 0.5000)  2 Sb 2.25

The calculation puts the energy relative to the elements, uncorrected at -104.9 kJ/mol of atoms.

---

Compound: SbCl2F
Source: Alexandria via LeMat-Bulk
Functional: PBE
Structure: optimized geometry

Unit cell a=13.6806 b=3.9177 c=4.7639 alpha=90.00 beta=109.99 gamma=90.00
With the nearest neighbours (Å) after each atom.
Space group Cm (No. 8)
One atom of each set of equivalent atoms:
Sb (0.0000, 0.0000, 0.0000)  1 F 1.97
Cl (0.1414, 0.5000, 0.1840)  2 Sb 2.68
Cl (0.3585, 0.0000, 0.9008)  2 Sb 2.68
F (0.4990, 0.5000, 0.4121)  1 Sb 1.97

The calculation puts the energy relative to the elements, uncorrected at -129.0 kJ/mol of atoms.

---

Compound: SiSbCl2F
Source: Alexandria via LeMat-Bulk
Functional: PBE
Structure: optimized geometry

Unit cell a=4.5299 b=4.5299 c=5.6283 alpha=90.00 beta=90.00 gamma=90.00
With the nearest neighbours (Å) after each atom.
Space group P4/mmm (No. 123)
One atom of each set of equivalent atoms:
Si (0.0000, 0.0000, 0.0000)  4 Cl 2.26
Sb (0.0000, 0.0000, 0.5000)  2 Si 2.81
Cl (0.0000, 0.5000, 0.0000)  2 Si 2.26
F (0.5000, 0.5000, 0.5000)  4 Sb 3.20

The calculation puts the energy relative to the elements, uncorrected at -26.5 kJ/mol of atoms.